# 1
Below is a PBEsol-optimized structure of TaReAsBr2, with properties calculated at the meta-GGA SCAN level.

Properties
Its total energy is -38.067 eV per atom. The calculation puts the uncorrected formation energy at 1.2908 eV per atom. Its crystal system is tetragonal.

Cell: 4.9779 4.9779 5.1105 Å, 90.00 90.00 90.00°
With the nearest neighbours (Å) after each atom.
Positions (direct):
Ta 0.0000 0.0000 0.0000  4 Br 2.49, 2 As 2.56
Re 0.5000 0.5000 0.5000  4 As 3.52, 8 Br 3.57
As 0.0000 0.0000 0.5000  2 Ta 2.56
Br 0.0000 0.5000 0.0000  2 Ta 2.49
Br 0.5000 0.0000 0.0000  2 Ta 2.49


# 2
Below is a PBEsol-optimized structure of ZrReAsBr2, with properties calculated at the meta-GGA SCAN level.

Properties
The value obtained for the relative energy among the computed polymorphs is 0 meV per atom. Its total energy is -31.433 eV per atom. The calculation puts the uncorrected formation energy at 0.7478 eV per atom. Its crystal system is tetragonal.

Cell: 5.1136 5.1136 5.3316 Å, 90.00 90.00 90.00°
With the nearest neighbours (Å) after each atom.
Positions (direct):
Zr 0.0000 0.0000 0.0000  4 Br 2.56, 2 As 2.67
Re 0.5000 0.5000 0.5000  4 As 3.62, 8 Br 3.69
As 0.0000 0.0000 0.5000  2 Zr 2.67
Br 0.0000 0.5000 0.0000  2 Zr 2.56
Br 0.5000 0.0000 0.0000  2 Zr 2.56